KAl4In after structural relaxation. Source: the Alexandria database, functional PBE-GGA.

Cell lengths 8.171, 8.171, 8.171 Å; angles 90.00, 90.00, 90.00 degrees
Space group F-43m (No. 216)
Unique sites:
K1 0.000 0.000 0.000 [4 per cell]
Al1 0.125 0.125 0.625 [16 per cell]
In1 0.250 0.250 0.250 [4 per cell]

Values from the calculation:
E_form, eV/atom: 0.1975
Magnetic moment, μB/f.u.: 0.000